Entry 1:
The following is a DFT calculation (GGA-PBEsol) of PRu2Cl after structural relaxation.

Energy above the lowest structure with this stoichiometry in eV/f.u.: 0.30
Raw formation energy in eV per formula unit: 1.9
Symmetry: No. 47
Theoretical density in g cm⁻³: 7.86
VASP energy in eV/atom: -6.57

Unit cell a=2.7932 b=3.8547 c=5.2727 alpha=90.00 beta=90.00 gamma=90.00
Fractional coordinates of all 4 atoms:
P (0.0000, 0.0000, 0.0000)
Ru (0.0000, 0.5000, 0.5000)
Ru (0.5000, 0.5000, 0.0000)
Cl (0.5000, 0.0000, 0.5000)



Entry 2:
The following is a DFT calculation (GGA-PBEsol) of TlP2RuCl after structural relaxation.

Energy above the lowest structure with this stoichiometry in eV/f.u.: 0.00
Raw formation energy in eV per formula unit: 0.6
Symmetry: No. 123
Theoretical density in g cm⁻³: 6.30
VASP energy in eV/atom: -5.16

Unit cell a=4.4858 b=4.4858 c=5.2729 alpha=90.00 beta=90.00 gamma=90.00
Fractional coordinates of all 5 atoms:
Tl (0.0000, 0.0000, 0.0000)
P (0.0000, 0.5000, 0.5000)
P (0.5000, 0.0000, 0.5000)
Ru (0.5000, 0.5000, 0.5000)
Cl (0.5000, 0.5000, 0.0000)



Entry 3:
The following is a DFT calculation (GGA-PBEsol) of TlP2RuCl after structural relaxation.

Energy above the lowest structure with this stoichiometry in eV/f.u.: 8.28
Raw formation energy in eV per formula unit: 8.9
Symmetry: No. 123
Theoretical density in g cm⁻³: 5.31
VASP energy in eV/atom: -3.50

Unit cell a=4.9733 b=4.9733 c=5.0890 alpha=90.00 beta=90.00 gamma=90.00
Fractional coordinates of all 5 atoms:
Tl (0.0000, 0.0000, 0.0000)
P (0.0000, 0.5000, 0.0000)
P (0.5000, 0.0000, 0.0000)
Ru (0.5000, 0.5000, 0.5000)
Cl (0.0000, 0.0000, 0.5000)



Entry 4:
The following is a DFT calculation (GGA-PBEsol) of PRuWCl2 after structural relaxation.

Energy above the lowest structure with this stoichiometry in eV/f.u.: 0.00
Raw formation energy in eV per formula unit: 5.6
Symmetry: No. 123
Theoretical density in g cm⁻³: 6.38
VASP energy in eV/atom: -5.64

Unit cell a=4.5718 b=4.5718 c=4.8188 alpha=90.00 beta=90.00 gamma=90.00
Fractional coordinates of all 5 atoms:
P (0.0000, 0.0000, 0.0000)
Ru (0.5000, 0.5000, 0.0000)
W (0.0000, 0.0000, 0.5000)
Cl (0.0000, 0.5000, 0.5000)
Cl (0.5000, 0.0000, 0.5000)



Entry 5:
The following is a DFT calculation (GGA-PBEsol) of PRuWCl2 after structural relaxation.

Energy above the lowest structure with this stoichiometry in eV/f.u.: 0.89
Raw formation energy in eV per formula unit: 6.5
Symmetry: No. 123
Theoretical density in g cm⁻³: 6.60
VASP energy in eV/atom: -5.46

Unit cell a=4.6343 b=4.6343 c=4.5321 alpha=90.00 beta=90.00 gamma=90.00
Fractional coordinates of all 5 atoms:
P (0.0000, 0.0000, 0.0000)
Ru (0.0000, 0.0000, 0.5000)
W (0.5000, 0.5000, 0.0000)
Cl (0.0000, 0.5000, 0.5000)
Cl (0.5000, 0.0000, 0.5000)



Entry 6:
The following is a DFT calculation (GGA-PBEsol) of YPRuCl2 after structural relaxation.

Raw formation energy in eV per formula unit: -1.9
Symmetry: No. 123
Theoretical density in g cm⁻³: 4.88
VASP energy in eV/atom: -5.74

Unit cell a=4.6322 b=4.6322 c=4.6262 alpha=90.00 beta=90.00 gamma=90.00
Fractional coordinates of all 5 atoms:
Y (0.0000, 0.0000, 0.0000)
P (0.5000, 0.5000, 0.0000)
Ru (0.5000, 0.5000, 0.5000)
Cl (0.0000, 0.5000, 0.5000)
Cl (0.5000, 0.0000, 0.5000)



Entry 7:
The following is a DFT calculation (GGA-PBEsol) of PSeS2Cl after structural relaxation.

Raw formation energy in eV per formula unit: 6.3
Symmetry: No. 123
Theoretical density in g cm⁻³: 3.58
VASP energy in eV/atom: -2.83

Unit cell a=4.4899 b=4.4899 c=4.8143 alpha=90.00 beta=90.00 gamma=90.00
Fractional coordinates of all 5 atoms:
P (0.0000, 0.0000, 0.0000)
Se (0.5000, 0.5000, 0.0000)
S (0.0000, 0.5000, 0.5000)
S (0.5000, 0.0000, 0.5000)
Cl (0.0000, 0.0000, 0.5000)



Entry 8:
The following is a DFT calculation (GGA-PBEsol) of SnPS2Cl after structural relaxation.

Raw formation energy in eV per formula unit: 4.0
Symmetry: No. 123
Theoretical density in g cm⁻³: 3.35
VASP energy in eV/atom: -3.37

Unit cell a=4.8198 b=4.8198 c=5.3233 alpha=90.00 beta=90.00 gamma=90.00
Fractional coordinates of all 5 atoms:
Sn (0.0000, 0.0000, 0.0000)
P (0.0000, 0.0000, 0.5000)
S (0.0000, 0.5000, 0.0000)
S (0.5000, 0.0000, 0.0000)
Cl (0.5000, 0.5000, 0.5000)



Entry 9:
The following is a DFT calculation (GGA-PBEsol) of TaP4S4Cl5 after structural relaxation.

Raw formation energy in eV per formula unit: -9.0
Symmetry: No. 2
Theoretical density in g cm⁻³: 2.79
VASP energy in eV/atom: -5.17

Unit cell a=6.5944 b=9.0854 c=13.2487 alpha=76.43 beta=88.01 gamma=70.47
Fractional coordinates of all 28 atoms:
Ta (0.1258, 0.2635, 0.3300)
Ta (0.8742, 0.7365, 0.6700)
P (0.0701, 0.0623, 0.8402)
P (0.1219, 0.5645, 0.2477)
P (0.1230, 0.6209, 0.0657)
P (0.3113, 0.8409, 0.1699)
P (0.6887, 0.1591, 0.8301)
P (0.8770, 0.3791, 0.9343)
P (0.8781, 0.4355, 0.7523)
P (0.9299, 0.9377, 0.1598)
S (0.1319, 0.1558, 0.9644)
S (0.1347, 0.2426, 0.7226)
S (0.3736, 0.7193, 0.0479)
S (0.3752, 0.6296, 0.2907)
S (0.6248, 0.3704, 0.7093)
S (0.6264, 0.2807, 0.9521)
S (0.8653, 0.7574, 0.2774)
S (0.8681, 0.8442, 0.0356)
Cl (0.1236, 0.6192, 0.5607)
Cl (0.1256, 0.0054, 0.3786)
Cl (0.1471, 0.6444, 0.8005)
Cl (0.3770, 0.2239, 0.2009)
Cl (0.3990, 0.2472, 0.4409)
Cl (0.6010, 0.7528, 0.5591)
Cl (0.6230, 0.7761, 0.7991)
Cl (0.8529, 0.3556, 0.1995)
Cl (0.8744, 0.9946, 0.6214)
Cl (0.8764, 0.3808, 0.4393)



Entry 10:
The following is a DFT calculation (GGA-PBEsol) of TaP4S6Cl5 after structural relaxation.

Raw formation energy in eV per formula unit: -9.5
Symmetry: No. 2
Theoretical density in g cm⁻³: 2.77
VASP energy in eV/atom: -5.10

Unit cell a=6.9113 b=11.1203 c=11.2718 alpha=101.76 beta=95.42 gamma=105.22
Fractional coordinates of all 32 atoms:
Ta (0.0144, 0.2665, 0.1471)
Ta (0.9856, 0.7335, 0.8529)
P (0.2372, 0.1569, 0.5434)
P (0.4392, 0.8790, 0.2311)
P (0.4434, 0.8124, 0.5129)
P (0.4522, 0.5844, 0.2852)
P (0.5478, 0.4156, 0.7148)
P (0.5566, 0.1876, 0.4871)
P (0.5608, 0.1210, 0.7689)
P (0.7628, 0.8431, 0.4566)
S (0.2431, 0.3444, 0.6395)
S (0.2567, 0.0551, 0.6810)
S (0.2951, 0.8937, 0.3887)
S (0.3045, 0.6122, 0.4371)
S (0.3771, 0.6765, 0.1524)
S (0.4046, 0.3996, 0.2068)
S (0.5954, 0.6004, 0.7932)
S (0.6229, 0.3235, 0.8476)
S (0.6955, 0.3878, 0.5629)
S (0.7049, 0.1063, 0.6113)
S (0.7433, 0.9449, 0.3190)
S (0.7569, 0.6556, 0.3605)
Cl (0.0077, 0.6939, 0.6423)
Cl (0.0623, 0.5446, 0.8571)
Cl (0.0697, 0.2407, 0.9450)
Cl (0.1739, 0.1109, 0.1725)
Cl (0.3102, 0.8663, 0.9043)
Cl (0.6898, 0.1337, 0.0957)
Cl (0.8261, 0.8891, 0.8275)
Cl (0.9303, 0.7593, 0.0550)
Cl (0.9377, 0.4554, 0.1429)
Cl (0.9923, 0.3061, 0.3577)